ZrSi4Ni3 | PBE | optimized geometry

Lattice parameters (Å, degrees): 4.8464 3.7548 6.0447 90.00 97.72 90.00
With the nearest neighbours (Å) after each atom.
Positions (direct):
Si 0.4107 0.5000 0.4738  4 Ni 2.33-2.36, 2 Si 2.59
Si 0.8039 0.0000 0.0059  5 Ni 2.30-2.41, 2 Si 2.46
Si 0.1315 0.5000 0.0694  4 Ni 2.30-2.35, 2 Si 2.46
Si 0.7807 0.0000 0.4819  3 Ni 2.39-2.50, 2 Si 2.59
Ni 0.6104 0.5000 0.1440  4 Si 2.30-2.33
Ni 0.7894 0.5000 0.7551  6 Si 2.33-2.50
Ni 0.1850 0.0000 0.2946  6 Si 2.31-2.39
Zr 0.2883 0.0000 0.7754  7 Si 2.69-2.89, 1 Ni 2.88

Calculated values
Crystal system: monoclinic
Spin magnetization (μB per atom): 0.00
Calculated total energy (eV per atom): -6.32